1.
A relaxed structure of Nb2Al2Sn. Source: OQMD, functional PBE.

Output
M_tot: 0.0 Bohr magnetons per cell
Space-group type: I4/mmm, No. 139

Cell and atoms, written as extended XYZ:
```
5
Lattice="-6.6119 -2.0227 -0.9039 -6.0338 2.1069 2.7892 6.0305 1.8269 -2.9868" Properties=species:S:1:pos:R:3 pbc="T T T"
Al -5.0861 0.0339 0.7583
Al -7.5596 0.0503 1.1271
Nb -3.1631 1.9879 0.3726
Nb -3.4521 -0.0769 -1.4740
Sn 0.0000 0.0000 0.0000
```

2.
A relaxed structure of PuMo. Source: OQMD, functional PBE.

Output
Energy of formation from the pure elements: 1.21 eV per atom
M_tot: 2.4 Bohr magnetons per cell
Space-group type: P6_3/mmc, No. 194

Cell and atoms, written as extended XYZ:
```
4
Lattice="-0.5844 -0.6865 -4.2970 3.3059 -1.9749 2.1090 -2.7513 -3.5930 0.9482" Properties=species:S:1:pos:R:3 pbc="T T T"
Pu -1.3756 -1.7965 0.4741
Pu 0.0000 0.0000 0.0000
Mo -1.3511 -3.8107 -1.4505
Mo 1.3213 -2.4437 0.2107
```

no.,energy above the most stable polymorph in this dataset (eV/f.u.)
1,1.01
2,1.47